[1]
A plane-wave DFT calculation with meta-GGA SCAN was carried out for a crystal of ReWAu2 relaxed with PBEsol.

Cell: 3.994 4.008 4.829 Å, 114.52 114.43 90.00°
Element x y z (fractional)
Re (0.501, 0.501, 0.002)
Au (0.000, 0.000, 0.000)
Au (0.750, 0.250, 0.500)
W (0.249, 0.749, 0.498)

Calculated values
ΔH_f (0 K) ... 0.409 eV/atom
Final energy ... -69.366 eV per atom
DOS at the Fermi energy ... 2.37 states/eV/f.u.
Symmetry ... Imm2
Mass density ... 20.25 g/cm³

***

[2]
A plane-wave DFT calculation with meta-GGA SCAN was carried out for a crystal of BeRe3 relaxed with PBEsol.

Cell: 4.241 4.241 4.241 Å, 60.00 60.00 60.00°
Element x y z (fractional)
Be (0.000, 0.000, 0.000)
Re (0.500, 0.500, 0.500)
Re (0.750, 0.750, 0.750)
Re (0.250, 0.250, 0.250)

Calculated values
ΔH_f (0 K) ... 0.028 eV/atom
Final energy ... -54.383 eV per atom
DOS at the Fermi energy ... 2.09 states/eV/f.u.
Symmetry ... Fm-3m
Mass density ... 17.48 g/cm³

***

[3]
A plane-wave DFT calculation with meta-GGA SCAN was carried out for a crystal of CsIrCl2 relaxed with PBEsol.

Cell: 5.126 5.126 5.126 Å, 60.00 60.00 60.00°
Element x y z (fractional)
Cs (0.000, 0.000, 0.000)
Ir (0.500, 0.500, 0.500)
Cl (0.750, 0.750, 0.750)
Cl (0.250, 0.250, 0.250)

Calculated values
Final energy ... -30.946 eV per atom
DOS at the Fermi energy ... 5.35 states/eV/f.u.
Symmetry ... Fm-3m
Mass density ... 6.90 g/cm³

***

[4]
A plane-wave DFT calculation with meta-GGA SCAN was carried out for a crystal of SrCa2Zn relaxed with PBEsol.

Cell: 3.763 3.763 9.625 Å, 90.00 90.00 90.00°
Element x y z (fractional)
Zn (0.500, 0.500, 0.500)
Ca (0.000, 0.000, 0.678)
Ca (0.000, 0.000, 0.322)
Sr (0.500, 0.500, 0.000)

Calculated values
ΔH_f (0 K) ... -0.110 eV/atom
Final energy ... -13.889 eV per atom
DOS at the Fermi energy ... 3.47 states/eV/f.u.
Symmetry ... P4/mmm
Mass density ... 2.84 g/cm³

***

[5]
A plane-wave DFT calculation with meta-GGA SCAN was carried out for a crystal of CaSi2Pb relaxed with PBEsol.

Cell: 3.170 4.685 6.136 Å, 90.00 90.00 90.00°
Element x y z (fractional)
Si (0.000, 0.000, 0.306)
Si (0.000, 0.000, 0.694)
Ca (0.500, 0.500, 0.500)
Pb (0.000, 0.500, 0.000)

Calculated values
Final energy ... -26.295 eV per atom
DOS at the Fermi energy ... 1.81 states/eV/f.u.
Symmetry ... Pmmm
Mass density ... 5.53 g/cm³

***

[6]
A plane-wave DFT calculation with meta-GGA SCAN was carried out for a crystal of MgRuC3 relaxed with PBEsol.

Cell: 3.939 3.939 3.939 Å, 90.00 90.00 90.00°
Element x y z (fractional)
C (0.000, 0.500, 0.000)
C (0.000, 0.000, 0.500)
C (0.500, 0.000, 0.000)
Mg (0.500, 0.500, 0.500)
Ru (0.000, 0.000, 0.000)

Calculated values
ΔH_f (0 K) ... 1.784 eV/atom
Final energy ... -12.236 eV per atom
DOS at the Fermi energy ... 2.76 states/eV/f.u.
Symmetry ... Pm-3m
Mass density ... 4.39 g/cm³

***

[7]
A plane-wave DFT calculation with meta-GGA SCAN was carried out for a crystal of CeScPd6 relaxed with PBEsol.

Cell: 4.015 4.015 7.975 Å, 90.00 90.00 90.00°
Element x y z (fractional)
Pd (0.500, 0.500, 0.500)
Pd (0.000, 0.500, 0.744)
Pd (0.000, 0.500, 0.256)
Pd (0.500, 0.500, 0.000)
Pd (0.500, 0.000, 0.744)
Pd (0.500, 0.000, 0.256)
Ce (0.000, 0.000, 0.000)
Sc (0.000, 0.000, 0.500)

Calculated values
ΔH_f (0 K) ... -0.890 eV/atom
Final energy ... -32.821 eV per atom
DOS at the Fermi energy ... 1.47 states/eV/f.u.
Symmetry ... P4/mmm
Mass density ... 10.64 g/cm³

***

[8]
A plane-wave DFT calculation with meta-GGA SCAN was carried out for a crystal of CaSc2P relaxed with PBEsol.

Cell: 4.865 4.865 4.865 Å, 60.00 60.00 60.00°
Element x y z (fractional)
Sc (0.750, 0.750, 0.750)
Sc (0.000, 0.000, 0.000)
Ca (0.500, 0.500, 0.500)
P (0.250, 0.250, 0.250)

Calculated values
ΔH_f (0 K) ... -0.023 eV/atom
Final energy ... -12.157 eV per atom
DOS at the Fermi energy ... 5.16 states/eV/f.u.
Symmetry ... F-43m
Mass density ... 3.28 g/cm³

***

Look up the final energy of the eighth one.
-12.157 eV per atom

***

Repeat the fourth record exactly.
A plane-wave DFT calculation with meta-GGA SCAN was carried out for a crystal of SrCa2Zn relaxed with PBEsol.

Cell: 3.763 3.763 9.625 Å, 90.00 90.00 90.00°
Element x y z (fractional)
Zn (0.500, 0.500, 0.500)
Ca (0.000, 0.000, 0.678)
Ca (0.000, 0.000, 0.322)
Sr (0.500, 0.500, 0.000)

Calculated values
ΔH_f (0 K) ... -0.110 eV/atom
Final energy ... -13.889 eV per atom
DOS at the Fermi energy ... 3.47 states/eV/f.u.
Symmetry ... P4/mmm
Mass density ... 2.84 g/cm³

***

final energy of number 8 (CaSc2P)?
-12.157 eV per atom

***

What is the formula in the third record?
CsIrCl2